# 1
Computed, not measured: Ba2AcTc after structural relaxation at the PBE level of DFT.

The space group is P4/mmm (No. 123) and the conventional cell measures 3.585, 3.585 and 12.603 Å, with angles of 90.00, 90.00 and 90.00 degrees. The asymmetric unit holds Ba at (0.000, 0.000, 0.230), Ac at (0.500, 0.500, 0.500) and Tc at (0.000, 0.000, 0.000).

The calculation puts the calculated total energy at -3.349 eV per atom.

---

# 2
Computed, not measured: BaAcTm after structural relaxation at the PBE level of DFT.

The space group is F-43m (No. 216) and the conventional cell measures 8.510, 8.510 and 8.510 Å, with angles of 90.00, 90.00 and 90.00 degrees. The asymmetric unit holds Ba at (0.000, 0.000, 0.000), Ac at (0.000, 0.000, 0.500) and Tm at (0.250, 0.250, 0.750).

The calculation puts the calculated total energy at -2.817 eV per atom.

---

# 3
Computed, not measured: BaAcZn after structural relaxation at the PBE level of DFT.

The space group is F-43m (No. 216) and the conventional cell measures 7.899, 7.899 and 7.899 Å, with angles of 90.00, 90.00 and 90.00 degrees. The asymmetric unit holds Ba at (0.000, 0.000, 0.000), Ac at (0.000, 0.000, 0.500) and Zn at (0.250, 0.250, 0.750).

The calculation puts the calculated total energy at -2.334 eV per atom.

---

# 4
Computed, not measured: AcBeCd after structural relaxation at the PBE level of DFT.

The space group is F-43m (No. 216) and the conventional cell measures 6.865, 6.865 and 6.865 Å, with angles of 90.00, 90.00 and 90.00 degrees. The asymmetric unit holds Ac at (0.000, 0.000, 0.000), Be at (0.250, 0.250, 0.250) and Cd at (0.000, 0.000, 0.500).

The calculation puts the calculated total energy at -2.752 eV per atom.

---

# 5
Computed, not measured: AcBeCd after structural relaxation at the PBE level of DFT.

The space group is F-43m (No. 216) and the conventional cell measures 7.300, 7.300 and 7.300 Å, with angles of 90.00, 90.00 and 90.00 degrees. The asymmetric unit holds Ac at (0.000, 0.000, 0.000), Be at (0.250, 0.250, 0.750) and Cd at (0.250, 0.250, 0.250).

The calculation puts the calculated total energy at -2.194 eV per atom.

---

# 6
Computed, not measured: AcBeCo after structural relaxation at the PBE level of DFT.

The space group is F-43m (No. 216) and the conventional cell measures 6.749, 6.749 and 6.749 Å, with angles of 90.00, 90.00 and 90.00 degrees. The asymmetric unit holds Ac at (0.000, 0.000, 0.000), Be at (0.250, 0.250, 0.750) and Co at (0.250, 0.250, 0.250).

The calculation puts the calculated total energy at -3.772 eV per atom.

---

Please write out number 1 again, unchanged.
Computed, not measured: Ba2AcTc after structural relaxation at the PBE level of DFT.

The space group is P4/mmm (No. 123) and the conventional cell measures 3.585, 3.585 and 12.603 Å, with angles of 90.00, 90.00 and 90.00 degrees. The asymmetric unit holds Ba at (0.000, 0.000, 0.230), Ac at (0.500, 0.500, 0.500) and Tc at (0.000, 0.000, 0.000).

The calculation puts the calculated total energy at -3.349 eV per atom.